Record 1
Entry from the Alexandria database: crystalline HfZrPO2 at its relaxed geometry (PBEsol).

Unit cell a=3.940 b=3.940 c=5.327 alpha=90.00 beta=90.00 gamma=90.00
Fractional coordinates of all 5 atoms:
Hf: 0.500 0.500 0.500
O: 0.000 0.500 0.000
O: 0.500 0.000 0.000
P: 0.000 0.000 0.500
Zr: 0.000 0.000 0.000

Computed properties:
* DOS at the Fermi energy: 2.19 states/eV/f.u.
* raw formation energy: -1.62 eV per atom
* energy: -8.793 eV per atom



Record 2
Entry from the Alexandria database: crystalline Hf3PbO at its relaxed geometry (PBEsol).

Unit cell a=4.446 b=4.446 c=4.446 alpha=90.00 beta=90.00 gamma=90.00
Fractional coordinates of all 5 atoms:
Pb: 0.500 0.500 0.500
Hf: 0.500 0.000 0.000
Hf: 0.000 0.500 0.000
Hf: 0.000 0.000 0.500
O: 0.000 0.000 0.000

Computed properties:
* DOS at the Fermi energy: 6.54 states/eV/f.u.
* raw formation energy: -0.88 eV per atom
* energy: -9.035 eV per atom



Record 3
Entry from the Alexandria database: crystalline Hf3TePb4O13 at its relaxed geometry (PBEsol).

Unit cell a=7.533 b=7.533 c=7.533 alpha=59.93 beta=59.93 gamma=59.93
Fractional coordinates of all 21 atoms:
O: 0.195 0.567 0.567
O: 0.826 0.436 0.826
O: 0.871 0.871 0.871
O: 0.826 0.826 0.436
O: 0.567 0.567 0.195
O: 0.435 0.435 0.804
O: 0.804 0.435 0.435
O: 0.567 0.195 0.567
O: 0.571 0.170 0.170
O: 0.435 0.804 0.435
O: 0.436 0.826 0.826
O: 0.170 0.571 0.170
O: 0.170 0.170 0.571
Hf: 0.501 0.501 0.000
Hf: 0.501 0.000 0.501
Hf: 0.000 0.501 0.501
Pb: 0.001 0.497 0.001
Pb: 0.998 0.998 0.998
Pb: 0.001 0.001 0.497
Pb: 0.497 0.001 0.001
Te: 0.501 0.501 0.501

Computed properties:
* raw formation energy: -2.21 eV per atom
* energy: -7.887 eV per atom



Record 4
Entry from the Alexandria database: crystalline Hf4TiPb5O15 at its relaxed geometry (PBEsol).

Unit cell a=5.780 b=9.962 c=12.876 alpha=75.09 beta=77.37 gamma=73.31
Fractional coordinates of all 50 atoms:
O: 0.621 0.947 0.370
O: 0.908 0.020 0.156
O: 0.308 0.828 0.045
O: 0.496 0.769 0.235
O: 0.786 0.854 0.036
O: 0.395 0.066 0.632
O: 0.981 0.267 0.230
O: 0.099 0.428 0.351
O: 0.691 0.622 0.447
O: 0.815 0.340 0.565
O: 0.710 0.156 0.964
O: 0.285 0.376 0.036
O: 0.087 0.976 0.837
O: 0.182 0.664 0.433
O: 0.891 0.570 0.639
O: 0.220 0.146 0.966
O: 0.585 0.466 0.837
O: 0.496 0.229 0.247
O: 0.708 0.627 0.960
O: 0.307 0.822 0.555
O: 0.014 0.753 0.766
O: 0.421 0.551 0.160
O: 0.116 0.964 0.363
O: 0.693 0.174 0.444
O: 0.903 0.566 0.156
O: 0.321 0.357 0.558
O: 0.099 0.429 0.844
O: 0.893 0.038 0.640
O: 0.510 0.228 0.748
O: 0.515 0.765 0.764
Pb: 0.084 0.242 0.728
Pb: 0.273 0.145 0.439
Pb: 0.471 0.035 0.131
Pb: 0.869 0.349 0.033
Pb: 0.666 0.450 0.329
Pb: 0.469 0.535 0.632
Pb: 0.083 0.742 0.227
Pb: 0.273 0.644 0.939
Pb: 0.869 0.848 0.533
Pb: 0.668 0.949 0.830
Hf: 0.031 0.996 0.993
Hf: 0.232 0.898 0.693
Hf: 0.231 0.397 0.192
Hf: 0.828 0.098 0.293
Hf: 0.430 0.797 0.392
Hf: 0.029 0.497 0.493
Hf: 0.829 0.599 0.793
Hf: 0.432 0.297 0.891
Ti: 0.640 0.696 0.090
Ti: 0.641 0.197 0.590

Computed properties:
* DOS at the Fermi energy: 0.00 states/eV/f.u.
* raw formation energy: -2.54 eV per atom
* energy: -8.500 eV per atom



Record 5
Entry from the Alexandria database: crystalline HfTiPb2O6 at its relaxed geometry (PBEsol).

Unit cell a=5.657 b=5.724 c=5.657 alpha=119.61 beta=90.00 gamma=119.61
Fractional coordinates of all 10 atoms:
O: 0.952 0.393 0.952
O: 0.965 0.930 0.965
O: 0.952 0.393 0.440
O: 0.451 0.903 0.451
O: 0.440 0.393 0.440
O: 0.440 0.393 0.952
Hf: 0.726 0.453 0.726
Pb: 0.501 0.002 0.001
Pb: 0.001 0.002 0.501
Ti: 0.226 0.452 0.226

Computed properties:
* DOS at the Fermi energy: 0.00 states/eV/f.u.
* raw formation energy: -2.45 eV per atom
* energy: -8.282 eV per atom



Record 6
Entry from the Alexandria database: crystalline HfPdO2 at its relaxed geometry (PBEsol).

Unit cell a=3.936 b=3.936 c=3.936 alpha=60.00 beta=60.00 gamma=60.00
Fractional coordinates of all 4 atoms:
O: 0.250 0.250 0.250
O: 0.750 0.750 0.750
Hf: 0.500 0.500 0.500
Pd: 0.000 0.000 0.000

Computed properties:
* DOS at the Fermi energy: 1.26 states/eV/f.u.
* raw formation energy: -1.49 eV per atom
* energy: -8.226 eV per atom



Record 7
Entry from the Alexandria database: crystalline Hf2SiPtO at its relaxed geometry (PBEsol).

Unit cell a=4.322 b=5.055 c=5.055 alpha=90.00 beta=90.00 gamma=90.00
Fractional coordinates of all 5 atoms:
O: 0.500 0.500 0.500
Pt: 0.000 0.000 0.000
Hf: 0.000 0.000 0.500
Hf: 0.000 0.500 0.000
Si: 0.500 0.000 0.000

Computed properties:
* DOS at the Fermi energy: 5.10 states/eV/f.u.
* raw formation energy: 0.51 eV per atom
* energy: -7.279 eV per atom



Record 8
Entry from the Alexandria database: crystalline Rb3HfO at its relaxed geometry (PBEsol).

Unit cell a=5.644 b=5.644 c=5.644 alpha=90.00 beta=90.00 gamma=90.00
Last column: magnetic moment on the atom in μB.
Fractional coordinates of all 5 atoms:
Rb: 0.000 0.000 0.500  0.03
Rb: 0.000 0.500 0.000  0.03
Rb: 0.500 0.000 0.000  0.03
O: 0.000 0.000 0.000  -0.08
Hf: 0.500 0.500 0.500  1.50

Computed properties:
* DOS at the Fermi energy: 8.82 states/eV/f.u.
* raw formation energy: 0.54 eV per atom
* energy: -3.226 eV per atom



Record 9
Entry from the Alexandria database: crystalline Rb2HfO at its relaxed geometry (PBEsol).

Unit cell a=3.992 b=9.342 c=9.342 alpha=87.38 beta=77.66 gamma=77.66
Last column: magnetic moment on the atom in μB.
Fractional coordinates of all 8 atoms:
Rb: 0.875 0.828 0.672  0.02
Rb: 0.297 0.328 0.828  0.02
Rb: 0.453 0.672 0.172  0.02
Rb: 0.375 0.172 0.328  0.02
Hf: 0.750 0.500 0.500  0.52
Hf: 0.000 0.000 0.000  0.52
O: 0.500 0.000 0.000  -0.02
O: 0.250 0.500 0.500  -0.02

Computed properties:
* DOS at the Fermi energy: 3.39 states/eV/f.u.
* raw formation energy: -0.60 eV per atom
* energy: -5.051 eV per atom



Record 10
Entry from the Alexandria database: crystalline Hf3ReO at its relaxed geometry (PBEsol).

Unit cell a=4.961 b=4.961 c=4.961 alpha=90.00 beta=90.00 gamma=90.00
Fractional coordinates of all 5 atoms:
Hf: 0.500 0.000 0.000
Hf: 0.000 0.000 0.500
Hf: 0.000 0.500 0.000
Re: 0.000 0.000 0.000
O: 0.500 0.500 0.500

Computed properties:
* DOS at the Fermi energy: 5.56 states/eV/f.u.
* raw formation energy: 1.03 eV per atom
* energy: -8.988 eV per atom



Record 11
Entry from the Alexandria database: crystalline HfRe2SbO at its relaxed geometry (PBEsol).

Unit cell a=4.188 b=4.188 c=4.261 alpha=90.00 beta=90.00 gamma=90.00
Fractional coordinates of all 5 atoms:
O: 0.000 0.000 0.000
Hf: 0.000 0.000 0.500
Sb: 0.500 0.500 0.500
Re: 0.500 0.000 0.000
Re: 0.000 0.500 0.000

Computed properties:
* DOS at the Fermi energy: 4.09 states/eV/f.u.
* raw formation energy: -0.07 eV per atom
* energy: -9.468 eV per atom



Record 12
Entry from the Alexandria database: crystalline HfRuO2 at its relaxed geometry (PBEsol).

Unit cell a=3.964 b=3.964 c=6.812 alpha=106.92 beta=106.92 gamma=90.00
Fractional coordinates of all 8 atoms:
Hf: 0.000 0.000 0.000
Hf: 0.250 0.750 0.500
O: 0.625 0.627 0.750
O: 0.125 0.123 0.750
O: 0.373 0.875 0.250
O: 0.877 0.375 0.250
Ru: 0.500 0.500 0.000
Ru: 0.750 0.250 0.500

Computed properties:
* DOS at the Fermi energy: 2.12 states/eV/f.u.
* raw formation energy: -1.52 eV per atom
* energy: -9.310 eV per atom



Record 13
Entry from the Alexandria database: crystalline Hf3RuO at its relaxed geometry (PBEsol).

Unit cell a=4.303 b=4.303 c=4.303 alpha=90.00 beta=90.00 gamma=90.00
Fractional coordinates of all 5 atoms:
O: 0.000 0.000 0.000
Hf: 0.500 0.000 0.000
Hf: 0.000 0.000 0.500
Hf: 0.000 0.500 0.000
Ru: 0.500 0.500 0.500

Computed properties:
* DOS at the Fermi energy: 4.08 states/eV/f.u.
* raw formation energy: -1.12 eV per atom
* energy: -10.505 eV per atom



Record 14
Entry from the Alexandria database: crystalline HfSO at its relaxed geometry (PBEsol).

Unit cell a=5.629 b=5.629 c=5.629 alpha=90.00 beta=90.00 gamma=90.00
Fractional coordinates of all 12 atoms:
O: 0.094 0.406 0.594
O: 0.906 0.906 0.906
O: 0.594 0.094 0.406
O: 0.406 0.594 0.094
Hf: 0.180 0.680 0.820
Hf: 0.820 0.180 0.680
Hf: 0.680 0.820 0.180
Hf: 0.320 0.320 0.320
S: 0.417 0.083 0.917
S: 0.917 0.417 0.083
S: 0.083 0.917 0.417
S: 0.583 0.583 0.583

Computed properties:
* DOS at the Fermi energy: 0.00 states/eV/f.u.
* raw formation energy: -2.63 eV per atom
* energy: -9.339 eV per atom



Record 15
Entry from the Alexandria database: crystalline HfSO at its relaxed geometry (PBEsol).

Unit cell a=3.532 b=3.532 c=6.293 alpha=90.00 beta=90.00 gamma=90.00
Fractional coordinates of all 6 atoms:
S: 0.000 0.500 0.373
S: 0.500 0.000 0.627
O: 0.500 0.500 0.000
O: 0.000 0.000 0.000
Hf: 0.500 0.000 0.197
Hf: 0.000 0.500 0.803

Computed properties:
* raw formation energy: -2.63 eV per atom
* energy: -9.338 eV per atom



Record 16
Entry from the Alexandria database: crystalline Hf3SO at its relaxed geometry (PBEsol).

Unit cell a=4.654 b=4.654 c=4.654 alpha=90.00 beta=90.00 gamma=90.00
Fractional coordinates of all 5 atoms:
Hf: 0.500 0.000 0.000
Hf: 0.000 0.000 0.500
Hf: 0.000 0.500 0.000
O: 0.500 0.500 0.500
S: 0.000 0.000 0.000

Computed properties:
* DOS at the Fermi energy: 5.87 states/eV/f.u.
* raw formation energy: 0.30 eV per atom
* energy: -7.928 eV per atom



Record 17
Entry from the Alexandria database: crystalline HfSO3 at its relaxed geometry (PBEsol).

Unit cell a=3.811 b=3.811 c=3.811 alpha=90.00 beta=90.00 gamma=90.00
Fractional coordinates of all 5 atoms:
O: 0.500 0.000 0.000
O: 0.000 0.000 0.500
O: 0.000 0.500 0.000
Hf: 0.500 0.500 0.500
S: 0.000 0.000 0.000

Computed properties:
* DOS at the Fermi energy: 3.18 states/eV/f.u.
* raw formation energy: -0.44 eV per atom
* energy: -6.566 eV per atom



Record 18
Entry from the Alexandria database: crystalline Hf3SbO at its relaxed geometry (PBEsol).

Unit cell a=4.406 b=4.406 c=4.406 alpha=90.00 beta=90.00 gamma=90.00
Fractional coordinates of all 5 atoms:
Hf: 0.500 0.000 0.000
Hf: 0.000 0.000 0.500
Hf: 0.000 0.500 0.000
O: 0.000 0.000 0.000
Sb: 0.500 0.500 0.500

Computed properties:
* DOS at the Fermi energy: 5.76 states/eV/f.u.
* raw formation energy: -1.06 eV per atom
* energy: -9.328 eV per atom



Record 19
Entry from the Alexandria database: crystalline HfZr2ScO at its relaxed geometry (PBEsol).

Unit cell a=3.845 b=5.588 c=5.588 alpha=90.00 beta=90.00 gamma=90.00
Last column: magnetic moment on the atom in μB.
Fractional coordinates of all 5 atoms:
Hf: 0.000 0.000 0.000  0.01
Zr: 0.000 0.000 0.500  0.17
Zr: 0.000 0.500 0.000  0.17
O: 0.500 0.000 0.000  0.02
Sc: 0.500 0.500 0.500  0.16

Computed properties:
* DOS at the Fermi energy: 7.08 states/eV/f.u.
* raw formation energy: 0.16 eV per atom
* energy: -7.946 eV per atom



Record 20
Entry from the Alexandria database: crystalline HfSeO2 at its relaxed geometry (PBEsol).

Unit cell a=3.131 b=3.131 c=9.636 alpha=80.65 beta=80.65 gamma=60.00
Last column: magnetic moment on the atom in μB.
Fractional coordinates of all 4 atoms:
O: 0.132 0.132 0.605  0.00
O: 0.868 0.868 0.395  0.00
Hf: 0.500 0.500 0.500  0.00
Se: 0.000 0.000 0.000  0.23

Computed properties:
* DOS at the Fermi energy: 1.28 states/eV/f.u.
* raw formation energy: -2.22 eV per atom
* energy: -8.430 eV per atom



Record 21
Entry from the Alexandria database: crystalline HfSiO2 at its relaxed geometry (PBEsol).

Unit cell a=5.389 b=6.153 c=5.389 alpha=64.03 beta=90.00 gamma=115.97
Fractional coordinates of all 8 atoms:
O: 0.007 0.750 0.875
O: 0.375 0.250 0.007
O: 0.743 0.750 0.375
O: 0.875 0.250 0.743
Hf: 0.750 0.500 0.750
Hf: 0.000 0.000 0.000
Si: 0.250 0.500 0.250
Si: 0.500 0.000 0.500

Computed properties:
* DOS at the Fermi energy: 1.11 states/eV/f.u.
* raw formation energy: -1.61 eV per atom
* energy: -8.293 eV per atom



Record 22
Entry from the Alexandria database: crystalline HfTi2SiO at its relaxed geometry (PBEsol).

Unit cell a=3.840 b=5.012 c=5.012 alpha=90.00 beta=90.00 gamma=90.00
Fractional coordinates of all 5 atoms:
Ti: 0.000 0.000 0.500
Ti: 0.000 0.500 0.000
Hf: 0.000 0.000 0.000
Si: 0.500 0.500 0.500
O: 0.500 0.000 0.000

Computed properties:
* DOS at the Fermi energy: 5.31 states/eV/f.u.
* raw formation energy: 0.30 eV per atom
* energy: -7.332 eV per atom



Record 23
Entry from the Alexandria database: crystalline Sm2Hf2O7 at its relaxed geometry (PBEsol).

Unit cell a=7.431 b=7.431 c=7.431 alpha=60.00 beta=60.00 gamma=60.00
Fractional coordinates of all 22 atoms:
O: 0.789 0.789 0.211
O: 0.789 0.211 0.789
O: 0.461 0.461 0.039
O: 0.461 0.039 0.461
O: 0.039 0.461 0.039
O: 0.211 0.211 0.789
O: 0.500 0.500 0.500
O: 0.039 0.461 0.461
O: 0.789 0.211 0.211
O: 0.211 0.789 0.789
O: 0.461 0.039 0.039
O: 0.211 0.789 0.211
O: 0.039 0.039 0.461
O: 0.750 0.750 0.750
Hf: 0.125 0.125 0.625
Hf: 0.125 0.125 0.125
Hf: 0.625 0.125 0.125
Hf: 0.125 0.625 0.125
Sm: 0.625 0.625 0.625
Sm: 0.125 0.625 0.625
Sm: 0.625 0.625 0.125
Sm: 0.625 0.125 0.625

Computed properties:
* DOS at the Fermi energy: 0.00 states/eV/f.u.
* raw formation energy: -3.59 eV per atom
* energy: -9.770 eV per atom